# 1
# Lu2Se

A relaxed structure of Lu2Se (PBE, OQMD via LeMat-Bulk).

Its final energy is -3.2453 eV/atom.

Cell lengths 8.7537, 8.7537, 8.7537 Å; angles 60.00, 60.00, 60.00 degrees
With the nearest neighbours (Å) after each atom.
Positions (direct):
Lu  0.0000  0.0000  0.0000  2 Se 2.68
Lu  0.0000  0.0000  0.5000  2 Se 2.68
Lu  0.0000  0.5000  0.0000  2 Se 2.68
Lu  0.5000  0.0000  0.0000  2 Se 2.68
Se  0.1250  0.1250  0.1250  4 Lu 2.68
Se  0.8750  0.8750  0.8750  4 Lu 2.68

***

# 2
# Nd2Ir

A relaxed structure of Nd2Ir (PBE, OQMD via LeMat-Bulk).

The energy relative to the elements is -478.1 meV/atom.

Cell lengths 7.9429, 7.9429, 4.2736 Å; angles 90.00, 90.00, 120.00 degrees
With the nearest neighbours (Å) after each atom.
Positions (direct):
Nd  0.0000  0.4161  0.0000  5 Ir 3.20-3.31, 2 Nd 3.37
Nd  0.0000  0.7439  0.5000  4 Ir 2.95-3.00
Nd  0.2561  0.2561  0.5000  4 Ir 2.95-3.00
Nd  0.4161  0.0000  0.0000  5 Ir 3.20-3.31, 2 Nd 3.37
Nd  0.5839  0.5839  0.0000  5 Ir 3.20-3.31, 2 Nd 3.37
Nd  0.7439  0.0000  0.5000  4 Ir 2.95-3.00
Ir  0.0000  0.0000  0.0000  6 Nd 2.95
Ir  0.3333  0.6667  0.5000  9 Nd 3.00-3.20
Ir  0.6667  0.3333  0.5000  9 Nd 3.00-3.20

***

# 3
# PrRe2

A relaxed structure of PrRe2 (PBE, OQMD via LeMat-Bulk).

The energy relative to the elements is 2288.9 meV/atom.

Cell lengths 4.5499, 4.5499, 4.5499 Å; angles 60.00, 60.00, 60.00 degrees
With the nearest neighbours (Å) after each atom.
Positions (direct):
Pr  0.0000  0.0000  0.0000  8 Re 2.79
Re  0.2500  0.2500  0.2500  4 Pr 2.79
Re  0.7500  0.7500  0.7500  4 Pr 2.79

***

# 4
# LuAlNO

A relaxed structure of LuAlNO (PBE, OQMD via LeMat-Bulk).

Its offset from the most stable computed form is 335.0 meV per atom.

Cell lengths 4.3333, 4.3333, 5.2358 Å; angles 90.00, 90.00, 90.00 degrees
With the nearest neighbours (Å) after each atom.
Positions (direct):
Lu  0.2500  0.7500  0.0000  4 N 2.26
Lu  0.7500  0.2500  0.0000  4 N 2.26
Al  0.2500  0.2500  0.4726  1 N 1.85
Al  0.7500  0.7500  0.5274  1 N 1.85
N  0.2500  0.2500  0.1196  1 Al 1.85
N  0.7500  0.7500  0.8804  1 Al 1.85
O  0.2500  0.7500  0.5000  4 Al 2.17
O  0.7500  0.2500  0.5000  4 Al 2.17

***

Please write out number 1 again, unchanged.
# Lu2Se

A relaxed structure of Lu2Se (PBE, OQMD via LeMat-Bulk).

Its final energy is -3.2453 eV/atom.

Cell lengths 8.7537, 8.7537, 8.7537 Å; angles 60.00, 60.00, 60.00 degrees
With the nearest neighbours (Å) after each atom.
Positions (direct):
Lu  0.0000  0.0000  0.0000  2 Se 2.68
Lu  0.0000  0.0000  0.5000  2 Se 2.68
Lu  0.0000  0.5000  0.0000  2 Se 2.68
Lu  0.5000  0.0000  0.0000  2 Se 2.68
Se  0.1250  0.1250  0.1250  4 Lu 2.68
Se  0.8750  0.8750  0.8750  4 Lu 2.68